# 1
A relaxed structure of AlHgB. Source: Alexandria via LeMat-Bulk, functional PBE.

## Properties
For the total moment, the calculation gives 0.00 μB/f.u. For the total DFT energy (no corrections), the calculation gives -0.1274 hartree per atom. The density of states at the Fermi level is 0.343 states/eV/atom. The calculated formation energy is 0.106 eV/atom.

Cell: 3.067 3.820 9.513 Å, 80.78 81.47 89.99°
Space group P-1 (No. 2)
Inequivalent atoms, fractional coordinates:
Al1 0.194 0.351 0.122 x2
Hg1 0.419 0.690 0.624 x2
B1 0.248 0.903 0.004 x2

# 2
A relaxed structure of AlHgB. Source: Alexandria via LeMat-Bulk, functional PBE.

## Properties
For the total moment, the calculation gives 0.00 μB/f.u. For the total DFT energy (no corrections), the calculation gives -0.1211 hartree per atom. The density of states at the Fermi level is 0.201 states/eV/atom. The calculated formation energy is 0.279 eV/atom.

Cell: 4.016 4.266 6.689 Å, 85.25 76.49 74.87°
Space group P-1 (No. 2)
Inequivalent atoms, fractional coordinates:
Al1 0.164 0.192 0.076 x2
Hg1 0.242 0.712 0.402 x2
B1 0.328 0.662 0.025 x2

# 3
A relaxed structure of AlHgB. Source: Alexandria via LeMat-Bulk, functional PBE.

## Properties
For the total moment, the calculation gives 0.00 μB/f.u. For the total DFT energy (no corrections), the calculation gives -0.1252 hartree per atom. The density of states at the Fermi level is 0.257 states/eV/atom. The calculated formation energy is 0.168 eV/atom.

Cell: 3.054 3.498 9.808 Å, 100.06 95.80 90.05°
Space group P1 (No. 1)
Inequivalent atoms, fractional coordinates:
Al1 0.000 0.000 0.000 x1
Al2 0.367 0.344 0.692 x1
Hg1 0.698 0.225 0.445 x1
Hg2 0.923 0.604 0.209 x1
B1 0.436 0.911 0.830 x1
B2 0.916 0.878 0.768 x1

# 4
A relaxed structure of AlHgB. Source: Alexandria via LeMat-Bulk, functional PBE.

## Properties
For the total moment, the calculation gives 0.00 μB/f.u. For the total DFT energy (no corrections), the calculation gives -0.1112 hartree per atom. The density of states at the Fermi level is 0.104 states/eV/atom. The calculated formation energy is 0.548 eV/atom.

Cell: 7.843 4.050 5.903 Å, 90.00 90.00 90.00°
Space group Pnma (No. 62)
Inequivalent atoms, fractional coordinates:
Al1 0.122 0.250 0.055 x4
Hg1 0.134 0.250 0.583 x4
B1 0.136 0.750 0.814 x4

# 5
A relaxed structure of AlHgB. Source: Alexandria via LeMat-Bulk, functional PBE.

## Properties
For the total moment, the calculation gives 0.00 μB/f.u. For the total DFT energy (no corrections), the calculation gives -0.1071 hartree per atom. The density of states at the Fermi level is 0.314 states/eV/atom. The calculated formation energy is 0.659 eV/atom.

Cell: 4.1182 4.1182 8.0472 Å, 90.00 90.00 120.00°
Space group P6_3/mmc (No. 194)
Inequivalent atoms, fractional coordinates:
Al1 0.0000 0.0000 0.0000 x2
Hg1 0.3333 0.6667 0.2500 x2
B1 0.0000 0.0000 0.2500 x2

# 6
A relaxed structure of AlHgB2. Source: Alexandria via LeMat-Bulk, functional PBE.

## Properties
For the total moment, the calculation gives 0.00 μB/f.u. For the total DFT energy (no corrections), the calculation gives -0.1166 hartree per atom. The density of states at the Fermi level is 0.383 states/eV/atom. The calculated formation energy is 1.178 eV/atom. The relative energy among the computed polymorphs comes out at 0.000 eV/f.u.

Cell: 5.641 5.641 8.120 Å, 90.00 90.00 90.00°
Space group I-42d (No. 122)
Inequivalent atoms, fractional coordinates:
Al1 0.000 0.000 0.000 x4
Hg1 0.000 0.000 0.500 x4
B1 0.233 0.250 0.125 x8

# 7
A relaxed structure of AlHgB. Source: Alexandria via LeMat-Bulk, functional PBE.

## Properties
For the total moment, the calculation gives 0.00 μB/f.u. For the total DFT energy (no corrections), the calculation gives -0.1236 hartree per atom. The density of states at the Fermi level is 0.231 states/eV/atom. The calculated formation energy is 0.211 eV/atom.

Cell: 3.072 6.026 6.103 Å, 85.55 75.53 89.79°
Space group P1 (No. 1)
Inequivalent atoms, fractional coordinates:
Al1 0.000 0.000 0.000 x1
Al2 0.208 0.207 0.584 x1
Hg1 0.184 0.672 0.632 x1
Hg2 0.925 0.570 0.153 x1
B1 0.387 0.131 0.225 x1
B2 0.842 0.180 0.314 x1

# 8
A relaxed structure of AlHgB. Source: Alexandria via LeMat-Bulk, functional PBE.

## Properties
For the total moment, the calculation gives 0.00 μB/f.u. For the total DFT energy (no corrections), the calculation gives -0.1216 hartree per atom. The density of states at the Fermi level is 0.304 states/eV/atom. The calculated formation energy is 0.266 eV/atom.

Cell: 3.476 5.395 6.227 Å, 86.66 74.06 71.25°
Space group P1 (No. 1)
Inequivalent atoms, fractional coordinates:
Al1 0.000 0.000 0.000 x1
Al2 0.142 0.508 0.208 x1
Hg1 0.290 0.955 0.474 x1
Hg2 0.927 0.500 0.644 x1
B1 0.618 0.728 0.036 x1
B2 0.784 0.408 0.022 x1

# 9
A relaxed structure of AlHgB. Source: Alexandria via LeMat-Bulk, functional PBE.

## Properties
For the total moment, the calculation gives 0.00 μB/f.u. For the total DFT energy (no corrections), the calculation gives -0.1211 hartree per atom. The density of states at the Fermi level is 0.265 states/eV/atom. The calculated formation energy is 0.280 eV/atom.

Cell: 4.061 4.072 8.275 Å, 81.39 81.94 75.70°
Space group P1 (No. 1)
Inequivalent atoms, fractional coordinates:
Al1 0.000 0.000 0.000 x1
Al2 0.416 0.418 0.863 x1
Hg1 0.051 0.048 0.319 x1
Hg2 0.371 0.363 0.544 x1
B1 0.548 0.869 0.931 x1
B2 0.868 0.549 0.931 x1

# 10
A relaxed structure of AlHgB. Source: Alexandria via LeMat-Bulk, functional PBE.

## Properties
For the total moment, the calculation gives 0.00 μB/f.u. For the total DFT energy (no corrections), the calculation gives -0.1276 hartree per atom. The density of states at the Fermi level is 0.308 states/eV/atom. The calculated formation energy is 0.102 eV/atom.

Cell: 3.831 3.064 9.181 Å, 90.00 99.33 90.00°
Space group P2_1/m (No. 11)
Inequivalent atoms, fractional coordinates:
Al1 0.149 0.250 0.125 x2
Hg1 0.183 0.750 0.383 x2
B1 0.403 0.750 0.995 x2

# 11
A relaxed structure of AlHgB. Source: Alexandria via LeMat-Bulk, functional PBE.

## Properties
For the total moment, the calculation gives 0.00 μB/f.u. For the total DFT energy (no corrections), the calculation gives -0.1183 hartree per atom. The density of states at the Fermi level is 0.322 states/eV/atom. The calculated formation energy is 0.354 eV/atom.

Cell: 9.036 3.164 7.631 Å, 90.00 90.00 90.00°
Space group Pnma (No. 62)
Inequivalent atoms, fractional coordinates:
Al1 0.056 0.250 0.230 x4
Hg1 0.199 0.750 0.965 x4
B1 0.000 0.000 0.500 x4

# 12
A relaxed structure of AlNiHg2B. Source: Alexandria via LeMat-Bulk, functional PBE.

## Properties
For the total moment, the calculation gives 0.00 μB/f.u. For the total DFT energy (no corrections), the calculation gives -0.1030 hartree per atom. The density of states at the Fermi level is 0.367 states/eV/atom. The calculated formation energy is 0.559 eV/atom.

Cell: 5.065 5.065 3.782 Å, 90.00 90.00 90.00°
Space group P4/mmm (No. 123)
Inequivalent atoms, fractional coordinates:
Al1 0.000 0.000 0.000 x1
Ni1 0.500 0.500 0.500 x1
Hg1 0.000 0.500 0.500 x2
B1 0.500 0.500 0.000 x1

# 13
A relaxed structure of Al3HgB4O12. Source: Alexandria via LeMat-Bulk, functional PBE.

## Properties
For the total moment, the calculation gives 0.82 μB/f.u. For the total DFT energy (no corrections), the calculation gives -0.2653 hartree per atom. The raw formation energy comes out at -2332 meV per atom. The density of states at the Fermi level is 0.318 states/eV/atom.

Cell: 9.3939 9.3939 7.3536 Å, 90.00 90.00 120.00°
Space group R32 (No. 155, hexagonal axes)
Inequivalent atoms, fractional coordinates:
Al1 0.0000 0.5582 0.0000 x9
Hg1 0.0000 0.0000 0.0000 x3
B1 0.0000 0.0000 0.5000 x3
B2 0.0000 0.4444 0.5000 x9
O1 0.0000 0.5918 0.5000 x9
O2 0.0000 0.8522 0.5000 x9
O3 0.0343 0.2227 0.1910 x18